No. 1
Crystalline TiCd2Pd at its relaxed geometry, computed with GGA-PBE.

```
TiCd2Pd
1.0
-3.854 3.854 2.736
3.854 -3.854 2.736
3.854 3.854 -2.736
Ti Cd Pd
2 4 2
direct
0.000 0.000 0.000 Ti
0.750 0.250 0.500 Ti
0.143 0.625 0.018 Cd
0.375 0.393 0.518 Cd
0.607 0.125 0.982 Cd
0.875 0.857 0.482 Cd
0.250 0.750 0.500 Pd
0.500 0.500 0.000 Pd
```

Values from the calculation:
- Mass density: 7.74 Mg/m³
- E_form: 0.186 eV per atom



No. 2
Crystalline CeTh5Sn5 at its relaxed geometry, computed with GGA-PBE.

```
CeTh5Sn5
1.0
7.031 -3.171 0.000
7.031 3.171 0.000
-2.867 0.000 8.483
Ce Th Sn
1 5 5
direct
0.000 0.000 0.000 Ce
0.000 0.000 0.500 Th
0.336 0.336 0.663 Th
0.338 0.338 0.176 Th
0.662 0.662 0.824 Th
0.664 0.664 0.337 Th
0.165 0.165 0.332 Sn
0.170 0.170 0.836 Sn
0.500 0.500 0.000 Sn
0.830 0.830 0.164 Sn
0.835 0.835 0.668 Sn
```

Values from the calculation:
- Mass density: 8.31 Mg/m³
- E_form: -0.286 eV per atom



No. 3
Crystalline LiTa2Rh at its relaxed geometry, computed with GGA-PBE.

```
LiTa2Rh
1.0
3.153 0.000 0.000
0.000 3.153 0.000
0.000 0.000 6.361
Li Ta Rh
1 2 1
direct
0.000 0.000 0.000 Li
0.000 0.000 0.443 Ta
0.500 0.500 0.736 Ta
0.500 0.500 0.208 Rh
```

Values from the calculation:
- Mass density: 12.39 Mg/m³
- E_form: -0.068 eV per atom



No. 4
Crystalline ZrCdIn at its relaxed geometry, computed with GGA-PBE.

```
ZrCdIn
1.0
4.820 0.000 0.000
-2.410 4.174 0.000
0.000 0.000 3.291
Zr Cd In
1 1 1
direct
0.000 0.000 0.000 Zr
0.667 0.333 0.496 Cd
0.333 0.667 0.503 In
```

Values from the calculation:
- Mass density: 7.99 Mg/m³
- E_form: -0.141 eV per atom



No. 5
Crystalline CsBaAsS2 at its relaxed geometry, computed with GGA-PBE.

```
CsBaAsS2
1.0
8.288 0.000 0.000
0.000 5.266 0.000
-1.881 0.000 8.735
Cs Ba As S
2 2 2 4
direct
0.000 0.192 0.250 Cs
0.000 0.808 0.750 Cs
0.500 0.492 0.750 Ba
0.500 0.508 0.250 Ba
0.500 0.000 0.000 As
0.500 0.000 0.500 As
0.264 0.301 0.957 S
0.264 0.699 0.457 S
0.736 0.301 0.543 S
0.736 0.699 0.043 S
```

Values from the calculation:
- Formation energy from raw total energies: -4.4 eV per formula unit
- Mass density: 3.57 Mg/m³



No. 6
Crystalline Nb6C5 at its relaxed geometry, computed with GGA-PBE.

```
Nb6C5
1.0
2.762 -4.774 0.000
2.762 4.774 0.000
-1.856 0.000 5.185
Nb C
6 5
direct
0.063 0.417 0.746 Nb
0.235 0.235 0.265 Nb
0.417 0.063 0.746 Nb
0.583 0.937 0.254 Nb
0.765 0.765 0.735 Nb
0.937 0.583 0.254 Nb
0.000 0.000 0.500 C
0.165 0.835 0.000 C
0.334 0.666 0.500 C
0.666 0.334 0.500 C
0.835 0.165 0.000 C
```

Values from the calculation:
- Mass density: 7.50 Mg/m³
- E_form: -0.566 eV per atom



No. 7
Crystalline CsAl2Ga8 at its relaxed geometry, computed with GGA-PBE.

```
CsAl2Ga8
1.0
6.923 -3.472 0.000
6.923 3.472 0.000
-0.737 0.000 5.245
Cs Al Ga
1 2 8
direct
0.000 0.000 0.000 Cs
0.223 0.223 0.647 Al
0.777 0.777 0.353 Al
0.200 0.599 0.465 Ga
0.257 0.257 0.160 Ga
0.401 0.800 0.535 Ga
0.409 0.409 0.914 Ga
0.591 0.591 0.086 Ga
0.599 0.200 0.465 Ga
0.743 0.743 0.840 Ga
0.800 0.401 0.535 Ga
```

Values from the calculation:
- Mass density: 4.90 Mg/m³
- E_form: 0.068 eV per atom



No. 8
Crystalline NiIrCl at its relaxed geometry, computed with GGA-PBE.

```
NiIrCl
1.0
2.929 0.000 0.000
-1.465 2.537 0.000
0.000 0.000 5.957
Ni Ir Cl
1 1 1
direct
0.000 0.000 0.000 Ni
0.333 0.667 0.687 Ir
0.667 0.333 0.276 Cl
```

Values from the calculation:
- Formation energy from raw total energies: 1.3 eV per formula unit
- Mass density: 10.74 Mg/m³
- Distance to the lowest polymorph of the same formula: 0 meV/atom



no.,total magnetization (μB/f.u.)
1,1.0
2,0.6
3,0.0
4,0.0
5,0.0
6,0.0
7,0.0
8,1.4